1.
Crystalline MgZr2Br at its relaxed geometry. Source: the Alexandria database, functional PBE.

a = 5.9527 Å, b = 5.9527 Å, c = 5.9527 Å
α = 138.28°, β = 138.28°, γ = 60.47°
Fractional coordinates of all 4 atoms:
Br (0.2500, 0.7500, 0.5000)
Mg (0.7500, 0.2500, 0.5000)
Zr (0.0000, 0.0000, 0.0000)
Zr (0.5000, 0.5000, 0.0000)

Results
**E above lowest polymorph**: 1.866 eV per formula unit
**Crystal system**: tetragonal
**Energy relative to the elements, uncorrected**: 0.1897 eV per atom
**Space group**: I4/mmm
**Total DFT energy (no corrections)**: -4.90 eV per atom


2.
Crystalline CaPt2 at its relaxed geometry. Source: the Alexandria database, functional PBE.

a = 7.2600 Å, b = 7.2600 Å, c = 4.6568 Å
α = 90.00°, β = 90.00°, γ = 120.00°
Fractional coordinates of all 9 atoms:
Ca (0.0000, 0.0000, 0.5000)
Ca (0.3333, 0.6667, 0.0000)
Ca (0.6667, 0.3333, 0.0000)
Pt (0.7631, 0.7631, 0.0000)
Pt (0.6050, 0.6050, 0.5000)
Pt (0.0000, 0.2369, 0.0000)
Pt (0.0000, 0.3950, 0.5000)
Pt (0.2369, 0.0000, 0.0000)
Pt (0.3950, 0.0000, 0.5000)

Results
**Calculated formation energy**: -0.256 eV per atom
**Crystal system**: hexagonal
**Space group**: P-62m
**Total DFT energy (no corrections)**: -4.95 eV per atom